No. 1
Entry from Alexandria: RbLiMgPd2 after structural relaxation (PBE-GGA).

Cell lengths 4.769, 4.769, 4.944 Å; angles 90.00, 90.00, 90.00 degrees
Atoms (fractional coordinates):
Rb1 0.000 0.000 0.000
Li1 0.500 0.500 0.500
Mg1 0.500 0.500 0.000
Pd1 0.000 0.500 0.500
Pd2 0.500 0.000 0.500

## Properties
DFT total energy in eV per atom: -2.748
Energy of formation in meV/atom: 224.3

No. 2
Entry from Alexandria: CaTc2P after structural relaxation (PBE-GGA).

Cell lengths 3.822, 3.822, 4.492 Å; angles 90.00, 90.00, 90.00 degrees
Atoms (fractional coordinates):
Ca1 0.000 0.000 0.000
Tc1 0.000 0.500 0.500
Tc2 0.500 0.000 0.500
P1 0.500 0.500 0.000

## Properties
DFT total energy in eV per atom: -6.705
Energy of formation in meV/atom: 331.3

No. 3
Entry from Alexandria: KSN2F after structural relaxation (PBE-GGA).

Cell lengths 3.459, 3.459, 5.910 Å; angles 90.00, 90.00, 90.00 degrees
Atoms (fractional coordinates):
K1 0.000 0.000 0.000
S1 0.500 0.500 0.500
N1 0.000 0.500 0.500
N2 0.500 0.000 0.500
F1 0.500 0.500 0.000

## Properties
DFT total energy in eV per atom: -4.505
Formation energy without anion corrections in eV/atom: 0.24
Distance to the lowest polymorph of the same formula in meV/atom: 0

Q: What is the formula in the third record?
A: KSN2F